This record from Alexandria via LeMat-Bulk describes MnCdBr2 after structural relaxation. The functional is PBE.

Properties
* M_tot: 9.28 μB/cell
* Fermi-level density of states: 0.348 states/eV/atom
* energy: -3.586 eV/atom
* energy relative to the lowest polymorph listed for this composition: 0.2249 eV per atom
* formation energy from raw total energies: -0.2283 eV per atom

Lattice parameters (Å, degrees): 3.8004 6.5424 9.4764 90.00 90.00 90.00
Closest atoms and distances in Å follow each position.
Space group Cmm2 (No. 35)
One atom of each set of equivalent atoms:
Mn1 0.0000 0.0000 0.0000 (multiplicity 2)  2 Br 2.54
Cd1 0.0000 0.5000 0.2291 (multiplicity 2)  2 Br 2.69, 2 Mn 2.89
Br1 0.0000 0.0000 0.4298 (multiplicity 2)  2 Cd 2.69
Br2 0.0000 0.5000 0.8224 (multiplicity 2)  2 Mn 2.54


This record from Alexandria via LeMat-Bulk describes TeAsIr after structural relaxation. The functional is PBE.

Properties
* M_tot: 0.00 μB/cell
* Fermi-level density of states: 0.020 states/eV/atom
* energy: -5.971 eV/atom
* formation energy from raw total energies: -0.4199 eV per atom

Lattice parameters (Å, degrees): 6.4777 6.2434 6.4586 90.00 104.09 90.00
Closest atoms and distances in Å follow each position.
Space group P2_1/c (No. 14)
One atom of each set of equivalent atoms:
Te1 0.1512 0.1242 0.3485 (multiplicity 4)  3 Ir 2.65-2.70, 1 As 2.71
As1 0.3668 0.6310 0.6349 (multiplicity 4)  3 Ir 2.49-2.50, 1 Te 2.71
Ir1 0.2640 0.5130 0.2541 (multiplicity 4)  3 As 2.49-2.50, 3 Te 2.65-2.70


This record from Alexandria via LeMat-Bulk describes CeZnNiSn after structural relaxation. The functional is PBE.

Properties
* M_tot: 0.00 μB/cell
* Fermi-level density of states: 0.751 states/eV/atom
* formation enthalpy at 0 K: -0.39 eV per atom
* energy: -4.638 eV/atom

Lattice parameters (Å, degrees): 6.7494 6.7494 6.7494 90.00 90.00 90.00
Closest atoms and distances in Å follow each position.
Space group F-43m (No. 216)
One atom of each set of equivalent atoms:
Ce1 0.0000 0.0000 0.0000 (multiplicity 4)  4 Ni 2.92, 4 Zn 2.92
Zn1 0.2500 0.2500 0.7500 (multiplicity 4)  4 Sn 2.92, 4 Ce 2.92
Ni1 0.2500 0.2500 0.2500 (multiplicity 4)  4 Sn 2.92, 4 Ce 2.92
Sn1 0.0000 0.0000 0.5000 (multiplicity 4)  4 Ni 2.92, 4 Zn 2.92


This record from Alexandria via LeMat-Bulk describes NaZrSc2 after structural relaxation. The functional is PBE.

Properties
* M_tot: 6.65 μB/cell
* Fermi-level density of states: 1.679 states/eV/atom
* formation enthalpy at 0 K: 0.46 eV per atom
* energy: -5.175 eV/atom
* energy relative to the lowest polymorph listed for this composition: 0.3464 eV per atom

Lattice parameters (Å, degrees): 7.3517 7.3517 7.3517 90.00 90.00 90.00
Closest atoms and distances in Å follow each position.
Space group Fm-3m (No. 225)
One atom of each set of equivalent atoms:
Na1 0.0000 0.0000 0.0000 (multiplicity 4)  8 Sc 3.18
Zr1 0.0000 0.0000 0.5000 (multiplicity 4)  8 Sc 3.18
Sc1 0.2500 0.2500 0.2500 (multiplicity 8)  4 Zr 3.18, 4 Na 3.18


This record from Alexandria via LeMat-Bulk describes Li2Nd3Cd3 after structural relaxation. The functional is PBE.

Properties
* M_tot: 1.32 μB/cell
* Fermi-level density of states: 0.896 states/eV/atom
* formation enthalpy at 0 K: -0.20 eV per atom
* energy: -2.808 eV/atom

Lattice parameters (Å, degrees): 3.8955 5.3752 20.2292 90.00 90.00 90.00
Closest atoms and distances in Å follow each position.
Space group Immm (No. 71)
One atom of each set of equivalent atoms:
Li1 0.0000 0.0000 0.2395 (multiplicity 4)  2 Cd 2.80
Nd1 0.0000 0.0000 0.0000 (multiplicity 2)  8 Cd 3.32-3.44
Nd2 0.0000 0.5000 0.1299 (multiplicity 4)  6 Cd 3.27-3.33, 4 Li 3.28-3.48
Cd1 0.0000 0.0000 0.5000 (multiplicity 2)  8 Nd 3.27-3.32
Cd2 0.0000 0.5000 0.3601 (multiplicity 4)  2 Li 2.80


This record from Alexandria via LeMat-Bulk describes Pr8Ga3OsI4 after structural relaxation. The functional is PBE.

Properties
* M_tot: 0.00 μB/cell
* Fermi-level density of states: 0.791 states/eV/atom
* energy: -4.756 eV/atom
* formation energy from raw total energies: -0.7095 eV per atom

Lattice parameters (Å, degrees): 8.7495 8.7495 23.6286 90.00 90.00 120.00
Closest atoms and distances in Å follow each position.
Space group R-3m (No. 166, hexagonal axes)
One atom of each set of equivalent atoms:
Pr1 0.0000 0.0000 0.2386 (multiplicity 6)  3 Ga 3.04, 3 I 3.38
Pr2 0.0176 0.5088 0.2320 (multiplicity 18)  1 Os 2.85, 2 Ga 3.02
Ga1 0.0000 0.5000 0.5000 (multiplicity 9)  6 Pr 3.02-3.04
Os1 0.0000 0.0000 0.5000 (multiplicity 3)  6 Pr 2.85
I1 0.0000 0.0000 0.0000 (multiplicity 3)  6 Pr 3.58
I2 0.0000 0.5000 0.0000 (multiplicity 9)  6 Pr 3.38-3.43


This record from Alexandria via LeMat-Bulk describes CrPRh2 after structural relaxation. The functional is PBE.

Properties
* M_tot: 3.46 μB/cell
* Fermi-level density of states: 0.701 states/eV/atom
* formation enthalpy at 0 K: -0.15 eV per atom
* energy: -7.579 eV/atom

Lattice parameters (Å, degrees): 3.7557 3.7557 7.4843 90.00 90.00 90.00
Closest atoms and distances in Å follow each position.
Space group I-4m2 (No. 119)
One atom of each set of equivalent atoms:
Cr1 0.0000 0.0000 0.0000 (multiplicity 2)  8 Rh 2.65-2.66, 4 P 2.65
P1 0.0000 0.5000 0.7500 (multiplicity 2)  4 Cr 2.65, 8 Rh 2.65-2.66
Rh1 0.0000 0.0000 0.5000 (multiplicity 2)  4 Rh 2.65, 4 P 2.65, 4 Cr 2.66
Rh2 0.0000 0.5000 0.2500 (multiplicity 2)  4 Cr 2.65, 4 Rh 2.65, 4 P 2.66


This record from Alexandria via LeMat-Bulk describes LiSiAg3 after structural relaxation. The functional is PBE.

Properties
* M_tot: 0.00 μB/cell
* Fermi-level density of states: 0.294 states/eV/atom
* energy: -2.578 eV/atom
* energy relative to the lowest polymorph listed for this composition: 0.6045 eV per atom
* formation energy from raw total energies: 0.6002 eV per atom

Lattice parameters (Å, degrees): 4.5061 4.5061 4.5061 90.00 90.00 90.00
Closest atoms and distances in Å follow each position.
Space group Pm-3m (No. 221)
One atom of each set of equivalent atoms:
Li1 0.0000 0.0000 0.0000 (multiplicity 1)  6 Ag 2.25
Si1 0.5000 0.5000 0.5000 (multiplicity 1)  12 Ag 3.19
Ag1 0.0000 0.0000 0.5000 (multiplicity 3)  2 Li 2.25


This record from Alexandria via LeMat-Bulk describes CaSm3Ho3 after structural relaxation. The functional is PBE.

Properties
* M_tot: 0.00 μB/cell
* Fermi-level density of states: 1.591 states/eV/atom
* formation enthalpy at 0 K: 0.22 eV per atom
* energy: -4.047 eV/atom

Lattice parameters (Å, degrees): 8.6864 8.6864 22.5663 90.00 90.00 120.00
Closest atoms and distances in Å follow each position.
Space group R-3 (No. 148, hexagonal axes)
One atom of each set of equivalent atoms:
Ca1 0.0000 0.0000 0.1545 (multiplicity 6)  6 Ho 3.56-3.85, 6 Sm 3.76-3.92
Sm1 0.0563 0.2768 0.7106 (multiplicity 18)  4 Ho 3.34-3.63, 2 Sm 3.61
Ho1 0.0094 0.2308 0.5585 (multiplicity 18)  4 Ho 3.29-3.40, 4 Sm 3.34-3.63, 1 Ca 3.56


This record from Alexandria via LeMat-Bulk describes Ta2TcSe after structural relaxation. The functional is PBE.

Properties
* M_tot: 0.00 μB/cell
* Fermi-level density of states: 0.708 states/eV/atom
* energy: -9.290 eV/atom
* formation energy from raw total energies: 0.0992 eV per atom

Lattice parameters (Å, degrees): 3.2725 4.9241 8.8407 90.00 90.00 90.00
Closest atoms and distances in Å follow each position.
Space group Cmm2 (No. 35)
One atom of each set of equivalent atoms:
Ta1 0.0000 0.0000 0.0000 (multiplicity 2)  2 Tc 2.56, 2 Ta 2.86
Ta2 0.0000 0.5000 0.2654 (multiplicity 2)  2 Se 2.61, 2 Ta 2.86
Tc1 0.0000 0.5000 0.7768 (multiplicity 2)  2 Ta 2.56
Se1 0.0000 0.0000 0.4958 (multiplicity 2)  2 Ta 2.61


This record from Alexandria via LeMat-Bulk describes MnTlRh2 after structural relaxation. The functional is PBE.

Properties
* M_tot: 17.70 μB/cell
* Fermi-level density of states: 1.698 states/eV/atom
* formation enthalpy at 0 K: 0.23 eV per atom
* energy: -6.328 eV/atom

Lattice parameters (Å, degrees): 6.3957 6.3957 6.3957 90.00 90.00 90.00
Closest atoms and distances in Å follow each position.
Space group F-43m (No. 216)
One atom of each set of equivalent atoms:
Mn1 0.0000 0.0000 0.0000 (multiplicity 4)  4 Tl 2.77, 4 Rh 2.77
Tl1 0.2500 0.2500 0.2500 (multiplicity 4)  4 Rh 2.77, 4 Mn 2.77
Rh1 0.0000 0.0000 0.5000 (multiplicity 4)  4 Tl 2.77, 4 Rh 2.77
Rh2 0.2500 0.2500 0.7500 (multiplicity 4)  4 Mn 2.77, 4 Rh 2.77


This record from Alexandria via LeMat-Bulk describes HfGe2MoC after structural relaxation. The functional is PBE.

Properties
* M_tot: 1.85 μB/cell
* Fermi-level density of states: 0.509 states/eV/atom
* formation enthalpy at 0 K: 1.66 eV per atom
* energy: -6.193 eV/atom

Lattice parameters (Å, degrees): 4.7901 4.7901 5.0155 90.00 90.00 90.00
Closest atoms and distances in Å follow each position.
Space group P4/mmm (No. 123)
One atom of each set of equivalent atoms:
Hf1 0.0000 0.0000 0.0000 (multiplicity 1)  2 Mo 2.51
Ge1 0.0000 0.5000 0.5000 (multiplicity 2)  2 Mo 2.40
Mo1 0.0000 0.0000 0.5000 (multiplicity 1)  4 Ge 2.40, 2 Hf 2.51
C1 0.5000 0.5000 0.0000 (multiplicity 1)  4 Hf 3.39, 8 Ge 3.47